A plane-wave DFT calculation with PBE-GGA was carried out for an optimized crystal structure of PrDyHgTe2.

Cell lengths 4.3969, 4.3969, 15.4437 Å; angles 90.00, 90.00, 90.00 degrees
Element x y z (fractional)
Pr: 0.2500 0.2500 0.1672
Pr: 0.7500 0.7500 0.8328
Dy: 0.2500 0.2500 0.5867
Dy: 0.7500 0.7500 0.4133
Hg: 0.2500 0.7500 0.0000
Hg: 0.7500 0.2500 0.0000
Te: 0.2500 0.2500 0.3869
Te: 0.2500 0.2500 0.7894
Te: 0.7500 0.7500 0.2106
Te: 0.7500 0.7500 0.6131

Properties
* total magnetization: 0.000 μB per atom
* DFT total energy: -4.275 eV per atom

A plane-wave DFT calculation with PBE-GGA was carried out for an optimized crystal structure of Ho3CoSn2.

Cell lengths 12.1572, 4.2818, 11.5044 Å; angles 90.00, 90.00, 90.00 degrees
Element x y z (fractional)
Ho: 0.0542 0.2500 0.1313
Ho: 0.1230 0.7500 0.5466
Ho: 0.2401 0.2500 0.7877
Ho: 0.2599 0.7500 0.2877
Ho: 0.3770 0.2500 0.0466
Ho: 0.4458 0.7500 0.6313
Ho: 0.5542 0.2500 0.3687
Ho: 0.6230 0.7500 0.9534
Ho: 0.7401 0.2500 0.7123
Ho: 0.7599 0.7500 0.2123
Ho: 0.8770 0.2500 0.4534
Ho: 0.9458 0.7500 0.8687
Co: 0.1289 0.2500 0.3663
Co: 0.3711 0.7500 0.8663
Co: 0.6289 0.2500 0.1337
Co: 0.8711 0.7500 0.6337
Sn: 0.0033 0.7500 0.3133
Sn: 0.1890 0.7500 0.9929
Sn: 0.3110 0.2500 0.4929
Sn: 0.4967 0.2500 0.8133
Sn: 0.5033 0.7500 0.1867
Sn: 0.6890 0.7500 0.5071
Sn: 0.8110 0.2500 0.0071
Sn: 0.9967 0.2500 0.6867

Properties
* total magnetization: 0.000 μB per atom
* DFT total energy: -5.399 eV per atom

A plane-wave DFT calculation with PBE-GGA was carried out for an optimized crystal structure of Bi2SbPb.

Cell lengths 8.1162, 8.1162, 8.1162 Å; angles 32.15, 32.15, 32.15 degrees
Element x y z (fractional)
Bi: 0.2468 0.2468 0.2468
Bi: 0.7532 0.7532 0.7532
Sb: 0.5000 0.5000 0.5000
Pb: 0.0000 0.0000 0.0000

Properties
* total magnetization: 0.000 μB per atom
* polymorph energy (0 for the lowest one): 0 meV per atom

A plane-wave DFT calculation with PBE-GGA was carried out for an optimized crystal structure of Sm8Si3CI4.

Cell lengths 9.0505, 9.0505, 9.0505 Å; angles 54.95, 54.95, 54.95 degrees
Element x y z (fractional)
Sm: 0.2325 0.2325 0.2325
Sm: 0.2552 0.7146 0.7146
Sm: 0.2854 0.2854 0.7449
Sm: 0.2854 0.7449 0.2854
Sm: 0.7146 0.2552 0.7146
Sm: 0.7146 0.7146 0.2551
Sm: 0.7449 0.2854 0.2854
Sm: 0.7675 0.7675 0.7675
Si: 0.0000 0.0000 0.5000
Si: 0.0000 0.5000 0.0000
Si: 0.5000 0.0000 0.0000
C: 0.5000 0.5000 0.5000
I: 0.0000 0.0000 0.0000
I: 0.0000 0.5000 0.5000
I: 0.5000 0.0000 0.5000
I: 0.5000 0.5000 0.0000

Properties
* total magnetization: 0.000 μB per atom
* DFT total energy: -5.201 eV per atom

A plane-wave DFT calculation with PBE-GGA was carried out for an optimized crystal structure of PmSi3Pd.

Cell lengths 11.1327, 11.1327, 4.1435 Å; angles 90.00, 90.00, 158.71 degrees
Element x y z (fractional)
Pm: 0.1702 0.8298 0.0000
Pm: 0.8298 0.1702 0.0000
Si: 0.0534 0.9466 0.5000
Si: 0.2790 0.7210 0.5000
Si: 0.4465 0.5535 0.0000
Si: 0.5535 0.4465 0.0000
Si: 0.7210 0.2790 0.5000
Si: 0.9466 0.0534 0.5000
Pd: 0.3897 0.6103 0.5000
Pd: 0.6103 0.3897 0.5000

Properties
* total magnetization: 0.000 μB per atom
* polymorph energy (0 for the lowest one): 6 meV per atom

A plane-wave DFT calculation with PBE-GGA was carried out for an optimized crystal structure of Ce2PuReN4.

Cell lengths 6.1671, 6.1671, 11.8339 Å; angles 90.00, 90.00, 148.48 degrees
Element x y z (fractional)
Ce: 0.1328 0.8672 0.5472
Ce: 0.1328 0.8672 0.9528
Ce: 0.8672 0.1328 0.0472
Ce: 0.8672 0.1328 0.4528
Pu: 0.3864 0.6136 0.7500
Pu: 0.6136 0.3864 0.2500
Re: 0.3532 0.6468 0.2500
Re: 0.6468 0.3532 0.7500
N: 0.0389 0.9611 0.7500
N: 0.2249 0.7751 0.1342
N: 0.2249 0.7751 0.3658
N: 0.5000 0.5000 0.0000
N: 0.5000 0.5000 0.5000
N: 0.7751 0.2249 0.6342
N: 0.7751 0.2249 0.8658
N: 0.9611 0.0389 0.2500

Properties
* total magnetization: 0.554 μB per atom
* DFT total energy: -9.943 eV per atom

A plane-wave DFT calculation with PBE-GGA was carried out for an optimized crystal structure of Cs3HfTh3Se8.

Cell lengths 9.9812, 9.9812, 9.9812 Å; angles 49.33, 49.33, 49.33 degrees
Element x y z (fractional)
Cs: 0.0000 0.5000 0.5000
Cs: 0.5000 0.0000 0.5000
Cs: 0.5000 0.5000 0.0000
Hf: 0.5000 0.5000 0.5000
Th: 0.0000 0.0000 0.5000
Th: 0.0000 0.5000 0.0000
Th: 0.5000 0.0000 0.0000
Se: 0.2337 0.2337 0.2337
Se: 0.2497 0.7170 0.7170
Se: 0.2830 0.2830 0.7503
Se: 0.2830 0.7503 0.2830
Se: 0.7170 0.2497 0.7170
Se: 0.7170 0.7170 0.2497
Se: 0.7503 0.2830 0.2830
Se: 0.7663 0.7663 0.7663

Properties
* total magnetization: 0.000 μB per atom
* DFT total energy: -5.679 eV per atom

A plane-wave DFT calculation with PBE-GGA was carried out for an optimized crystal structure of YMgTiIn.

Cell lengths 5.0510, 5.0510, 5.0510 Å; angles 60.00, 60.00, 60.00 degrees
Element x y z (fractional)
Y: 0.0000 0.0000 0.0000
Mg: 0.7500 0.7500 0.7500
Ti: 0.5000 0.5000 0.5000
In: 0.2500 0.2500 0.2500

Properties
* total magnetization: 0.277 μB per atom
* DFT total energy: -4.757 eV per atom

A plane-wave DFT calculation with PBE-GGA was carried out for an optimized crystal structure of NiSb2P.

Cell lengths 6.2287, 6.2287, 6.2287 Å; angles 150.62, 135.44, 54.27 degrees
Element x y z (fractional)
Ni: 0.0000 0.0000 0.0000
Sb: 0.2071 0.7071 0.5000
Sb: 0.5130 0.5130 0.0000
P: 0.8554 0.3554 0.5000

Properties
* total magnetization: 0.000 μB per atom
* DFT total energy: -4.696 eV per atom

A plane-wave DFT calculation with PBE-GGA was carried out for an optimized crystal structure of Hf3CrRh.

Cell lengths 4.7011, 4.7011, 4.7011 Å; angles 90.00, 90.00, 90.00 degrees
Element x y z (fractional)
Hf: 0.0000 0.0000 0.5000
Hf: 0.0000 0.5000 0.0000
Hf: 0.5000 0.0000 0.0000
Cr: 0.0000 0.0000 0.0000
Rh: 0.5000 0.5000 0.5000

Properties
* total magnetization: 0.000 μB per atom
* polymorph energy (0 for the lowest one): 0 meV per atom

What did the seventh record say?
A plane-wave DFT calculation with PBE-GGA was carried out for an optimized crystal structure of Cs3HfTh3Se8.

Cell lengths 9.9812, 9.9812, 9.9812 Å; angles 49.33, 49.33, 49.33 degrees
Element x y z (fractional)
Cs: 0.0000 0.5000 0.5000
Cs: 0.5000 0.0000 0.5000
Cs: 0.5000 0.5000 0.0000
Hf: 0.5000 0.5000 0.5000
Th: 0.0000 0.0000 0.5000
Th: 0.0000 0.5000 0.0000
Th: 0.5000 0.0000 0.0000
Se: 0.2337 0.2337 0.2337
Se: 0.2497 0.7170 0.7170
Se: 0.2830 0.2830 0.7503
Se: 0.2830 0.7503 0.2830
Se: 0.7170 0.2497 0.7170
Se: 0.7170 0.7170 0.2497
Se: 0.7503 0.2830 0.2830
Se: 0.7663 0.7663 0.7663

Properties
* total magnetization: 0.000 μB per atom
* DFT total energy: -5.679 eV per atom